The following is a GGA-PBE calculation of an optimized crystal structure of BaVSe3, from Alexandria.

Properties
- Space-group type: Pm-3m, No. 221
- Formation energy (no corrections): 3.47 eV/f.u.
- Volume: 219.4 Å³/cell
- Final energy: -18.02 eV for the cell shown

abc: 6.031 6.031 6.031
angles: 90.00 90.00 90.00
Each line ends with the local moment (μB).
Fractional positions:
Se1 0.000 0.500 0.000  -0.55
Se2 0.500 0.000 0.000  -0.55
Se3 0.000 0.000 0.500  -0.55
V1 0.500 0.500 0.500  3.19
Ba1 0.000 0.000 0.000  -0.03


The following is a GGA-PBE calculation of an optimized crystal structure of Ba3VSe, from Alexandria.

Properties
- Space-group type: Pm-3m, No. 221
- Excess energy over the best structure of this formula in the dataset: 0 meV/atom
- Formation energy (no corrections): -0.59 eV/f.u.
- Volume: 247.6 Å³/cell
- Final energy: -18.97 eV for the cell shown

abc: 6.279 6.279 6.279
angles: 90.00 90.00 90.00
Each line ends with the local moment (μB).
Fractional positions:
V1 0.500 0.500 0.500  3.12
Ba1 0.500 0.000 0.000  0.11
Ba2 0.000 0.000 0.500  0.11
Ba3 0.000 0.500 0.000  0.11
Se1 0.000 0.000 0.000  0.01


The following is a GGA-PBE calculation of an optimized crystal structure of BaV2Se, from Alexandria.

Properties
- Space-group type: I4_1/amd, No. 141
- Formation energy (no corrections): 0.84 eV/f.u.
- Volume: 204.8 Å³/cell
- Final energy: -45.61 eV for the cell shown

abc: 4.715 4.715 9.797
angles: 76.08 76.08 90.00
Each line ends with the local moment (μB).
Fractional positions:
Ba1 0.000 0.000 0.000  0.04
Ba2 0.750 0.250 0.500  0.04
Se1 0.500 0.500 0.000  -0.02
Se2 0.250 0.750 0.500  -0.02
V1 0.875 0.625 0.750  0.99
V2 0.375 0.125 0.250  0.99
V3 0.375 0.625 0.250  0.99
V4 0.375 0.625 0.750  0.99


The following is a GGA-PBE calculation of an optimized crystal structure of BaVSe4, from Alexandria.

Properties
- Space-group type: C2/c, No. 15
- Excess energy over the best structure of this formula in the dataset: 69 meV/atom
- Formation energy (no corrections): -5.07 eV/f.u.
- Volume: 325.3 Å³/cell
- Final energy: -60.09 eV for the cell shown

abc: 5.890 9.080 8.169
angles: 56.24 75.69 63.60
Fractional positions:
Se1 0.433 0.239 0.711
Se2 0.663 0.815 0.881
Se3 0.337 0.185 0.119
Se4 0.067 0.050 0.711
Se5 0.163 0.696 0.119
Se6 0.837 0.304 0.881
Se7 0.933 0.950 0.289
Se8 0.567 0.761 0.289
Ba1 0.750 0.359 0.282
Ba2 0.250 0.641 0.718
V1 0.750 0.000 0.000
V2 0.250 0.000 0.000


The following is a GGA-PBE calculation of an optimized crystal structure of BaVSe3, from Alexandria.

Properties
- Space-group type: P2_1/c, No. 14
- Formation energy (no corrections): -5.94 eV/f.u.
- Volume: 562.0 Å³/cell
- Final energy: -109.73 eV for the cell shown

abc: 6.539 7.631 11.285
angles: 86.31 90.00 90.00
Fractional positions:
Ba1 0.769 0.993 0.705
Ba2 0.731 0.493 0.205
Ba3 0.231 0.007 0.295
Ba4 0.269 0.507 0.795
Se1 0.280 0.083 0.743
Se2 0.489 0.692 0.539
Se3 0.000 0.740 0.523
Se4 0.989 0.808 0.961
Se5 0.011 0.192 0.039
Se6 0.780 0.417 0.757
Se7 0.500 0.240 0.023
Se8 0.500 0.760 0.977
Se9 0.511 0.308 0.461
Se10 0.000 0.260 0.477
Se11 0.720 0.917 0.257
Se12 0.220 0.583 0.243
V1 0.711 0.985 0.055
V2 0.211 0.515 0.445
V3 0.789 0.485 0.555
V4 0.289 0.015 0.945


The following is a GGA-PBE calculation of an optimized crystal structure of BaW2Se, from Alexandria.

Properties
- Space-group type: Pmm2, No. 25
- Formation energy (no corrections): 1.26 eV/f.u.
- Volume: 95.5 Å³/cell
- Final energy: -30.05 eV for the cell shown

abc: 4.277 3.328 6.708
angles: 89.96 90.00 90.00
Fractional positions:
W1 0.000 0.875 0.066
W2 0.500 0.375 0.095
Se1 0.500 0.875 0.806
Ba1 0.000 0.375 0.533